Dy7Bi5 | PBE-GGA | optimized geometry

Cell: 7.6308 7.6308 12.7330 Å, 110.79 110.79 33.79°
With the nearest neighbours (Å) after each atom.
Fractional coordinates of all 12 atoms:
1 Dy 0.0000 0.0000 0.0000  4 Bi 3.11
2 Dy 0.1625 0.1625 0.5305  5 Bi 3.16-3.37
3 Dy 0.2090 0.2090 0.8339  5 Bi 3.04-3.24
4 Dy 0.4509 0.4509 0.7134  4 Bi 3.01-3.11
5 Dy 0.5491 0.5491 0.2866  4 Bi 3.01-3.11
6 Dy 0.7910 0.7910 0.1661  5 Bi 3.04-3.24
7 Dy 0.8375 0.8375 0.4695  5 Bi 3.16-3.37
8 Bi 0.1976 0.1976 0.2833  7 Dy 3.11-3.37
9 Bi 0.3795 0.3795 0.0617  6 Dy 3.01-3.11
10 Bi 0.5000 0.5000 0.5000  6 Dy 3.06-3.16
11 Bi 0.6205 0.6205 0.9383  6 Dy 3.01-3.11
12 Bi 0.8024 0.8024 0.7167  7 Dy 3.11-3.37

Summary:
Final energy ... -4.886 eV/atom
Space-group type ... C2/m (12)
Formation enthalpy at 0 K ... -584 meV/atom
DOS(E_F) ... 7.9 states/eV/cell